{
  "formula": "MgCrPd3",
  "functional": "SCAN",
  "state": "single point on PBEsol structure",
  "cell": [[4.5066, 0.0000, 0.0000], [0.0000, 4.5066, 0.0000], [0.0000, 0.0000, 4.5066]],
  "species": ["Pd", "Cr", "Pd", "Pd", "Mg"],
  "fractional_positions": [[0.5000, 0.0000, 0.0000], [0.5000, 0.5000, 0.5000], [0.0000, 0.0000, 0.5000], [0.0000, 0.5000, 0.0000], [0.0000, 0.0000, 0.0000]],
  "magmom_total_mub_per_atom": 0.8843,
  "spacegroup": "Pm-3m",
  "dos_ef_per_ev_fu": 2.990,
  "ef_ev_per_atom": 0.534
}

{
  "formula": "K2Na2Mo3WO12",
  "functional": "SCAN",
  "state": "single point on PBEsol structure",
  "cell": [[7.7668, 0.0000, 0.0000], [0.0000, 7.7804, 0.0000], [0.0000, 0.0000, 7.7804]],
  "species": ["Na", "O", "O", "O", "Mo", "Na", "O", "Mo", "O", "O", "O", "O", "O", "Mo", "O", "K", "O", "O", "Mo", "K", "Na", "Mo", "O", "O", "Mo", "O", "K", "O", "Na", "W", "O", "O", "W", "O", "O", "O", "O", "O", "K", "O"],
  "fractional_positions": [[0.5000, 0.7444, 0.2556], [0.5000, 0.0000, 0.5000], [0.5000, 0.5000, 0.5000], [0.2549, 0.5000, 0.7509], [0.2523, 0.5000, 0.5000], [0.5000, 0.2556, 0.2556], [0.7456, 0.7522, 0.0000], [0.7476, 0.0000, 0.5000], [0.2544, 0.2478, 0.0000], [0.7456, 0.2478, 0.0000], [0.0000, 0.5000, 0.5000], [0.5000, 0.5000, 0.0000], [0.0000, 0.5000, 0.0000], [0.2524, 0.0000, 0.5000], [0.5000, 0.0000, 0.0000], [0.0000, 0.7478, 0.2522], [0.2549, 0.5000, 0.2491], [0.7456, 0.0000, 0.2478], [0.2524, 0.5000, 0.0000], [0.0000, 0.2522, 0.2522], [0.5000, 0.7444, 0.7444], [0.7477, 0.5000, 0.5000], [0.0000, 0.0000, 0.0000], [0.7456, 0.0000, 0.7522], [0.7476, 0.5000, 0.0000], [0.7451, 0.7509, 0.5000], [0.0000, 0.7478, 0.7478], [0.2549, 0.2491, 0.5000], [0.5000, 0.2556, 0.7444], [0.7477, 0.0000, 0.0000], [0.0000, 0.0000, 0.5000], [0.2544, 0.0000, 0.7522], [0.2523, 0.0000, 0.0000], [0.2549, 0.7509, 0.5000], [0.7451, 0.5000, 0.2491], [0.2544, 0.0000, 0.2478], [0.7451, 0.5000, 0.7509], [0.7451, 0.2491, 0.5000], [0.0000, 0.2522, 0.7478], [0.2544, 0.7522, 0.0000]],
  "magmom_total_mub_per_atom": 0.0000,
  "spacegroup": "P4/mmm",
  "dos_ef_per_ev_fu": 3.129,
  "raw_formation_energy_kj_per_mol_atoms": -214.9
}

{
  "formula": "CsSrTl2",
  "functional": "SCAN",
  "state": "single point on PBEsol structure",
  "cell": [[5.9536, 0.0000, 0.0000], [2.9768, 5.1560, 0.0000], [2.9768, 1.7187, 4.8611]],
  "species": ["Tl", "Tl", "Sr", "Cs"],
  "fractional_positions": [[0.2500, 0.2500, 0.2500], [0.7500, 0.7500, 0.7500], [0.0000, 0.0000, 0.0000], [0.5000, 0.5000, 0.5000]],
  "magmom_total_mub_per_atom": 0.0000,
  "spacegroup": "Fm-3m",
  "dos_ef_per_ev_fu": 2.978,
  "ef_ev_per_atom": -0.184
}

{
  "formula": "KBaPd3",
  "functional": "SCAN",
  "state": "single point on PBEsol structure",
  "cell": [[-0.4472, 2.3551, 4.4969], [-4.9499, 0.7984, -0.9103], [-1.1252, -4.4479, 2.2176]],
  "species": ["Ba", "Pd", "K", "Pd", "Pd"],
  "fractional_positions": [[0.5000, 0.5000, 0.5000], [0.0000, 0.0000, 0.5000], [0.0000, 0.0000, 0.0000], [0.5000, 0.0000, 0.0000], [0.0000, 0.5000, 0.0000]],
  "magmom_total_mub_per_atom": 0.0000,
  "spacegroup": "Pm-3m",
  "dos_ef_per_ev_fu": 2.238,
  "ef_ev_per_atom": 0.616
}

{
  "formula": "FeOsSe2N",
  "functional": "SCAN",
  "state": "single point on PBEsol structure",
  "cell": [[3.2604, 0.0000, 0.0000], [0.0000, 4.6947, 0.0000], [0.0000, 0.0000, 4.6947]],
  "species": ["Se", "Fe", "Os", "Se", "N"],
  "fractional_positions": [[0.0000, 0.0000, 0.5000], [0.0000, 0.0000, 0.0000], [0.5000, 0.5000, 0.5000], [0.0000, 0.5000, 0.0000], [0.5000, 0.0000, 0.0000]],
  "magmom_total_mub_per_atom": 0.0001,
  "spacegroup": "P4/mmm",
  "dos_ef_per_ev_fu": 2.816,
  "raw_formation_energy_kj_per_mol_atoms": 90.2
}

{
  "formula": "NaLa9Ge6O26",
  "functional": "SCAN",
  "state": "single point on PBEsol structure",
  "cell": [[7.2501, 0.0000, 0.0000], [0.0000, 9.8092, 0.0000], [0.0000, -4.9046, 8.4951]],
  "species": ["O", "Ge", "O", "O", "O", "O", "La", "O", "O", "O", "O", "Ge", "O", "O", "Ge", "O", "Ge", "La", "Ge", "Ge", "O", "O", "La", "O", "O", "La", "O", "La", "La", "O", "La", "O", "O", "Na", "La", "La", "O", "O", "O", "O", "O", "O"],
  "fractional_positions": [[0.7495, 0.7264, 0.5360], [0.2538, 0.7382, 0.6996], [0.2494, 0.6556, 0.4928], [0.2596, 0.9433, 0.7972], [0.4278, 0.1011, 0.3648], [0.5591, 0.9840, 0.5650], [0.7500, 0.3231, 0.8989], [0.2494, 0.8372, 0.3444], [0.9448, 0.4363, 0.4207], [0.7541, 0.1547, 0.1845], [0.4278, 0.6352, 0.7363], [0.7517, 0.9351, 0.6422], [0.4278, 0.2637, 0.8989], [0.9448, 0.5793, 0.0155], [0.7517, 0.7070, 0.0649], [0.2494, 0.5072, 0.1628], [0.2538, 0.3004, 0.0387], [0.2536, 0.3461, 0.4398], [0.2538, 0.9613, 0.2618], [0.7517, 0.3578, 0.2930], [0.0536, 0.0798, 0.3109], [0.2596, 0.8539, 0.0567], [0.7500, 0.5758, 0.6769], [0.7448, 0.3333, 0.6667], [0.0536, 0.2312, 0.9202], [0.2536, 0.0936, 0.6539], [0.0536, 0.6891, 0.7688], [0.7500, 0.1011, 0.4242], [0.0005, 0.6667, 0.3333], [0.5591, 0.4350, 0.4190], [0.0051, 0.0000, 0.0000], [0.2596, 0.2028, 0.1461], [0.5591, 0.5810, 0.0160], [0.5107, 0.0000, 0.0000], [0.4999, 0.6667, 0.3333], [0.2536, 0.5602, 0.9064], [0.7495, 0.8095, 0.2736], [0.9448, 0.9845, 0.5637], [0.2178, 0.3333, 0.6667], [0.7541, 0.8155, 0.9701], [0.7541, 0.0299, 0.8453], [0.7495, 0.4640, 0.1905]],
  "magmom_total_mub_per_atom": 0.0000,
  "spacegroup": "P3",
  "dos_ef_per_ev_fu": 0.000,
  "raw_formation_energy_kj_per_mol_atoms": -289.5
}